Entry from Alexandria via LeMat-Bulk: a relaxed structure of Sb2AuICl (PBE-GGA).

a = 5.436 Å, b = 5.436 Å, c = 5.658 Å
α = 90.00°, β = 90.00°, γ = 90.00°
Fractional coordinates of all 5 atoms:
Sb1 0.000 0.500 0.000
Sb2 0.500 0.000 0.000
Au1 0.000 0.000 0.000
I1 0.000 0.000 0.500
Cl1 0.500 0.500 0.500

Results
As for the symmetry: P4/mmm (123). The value obtained for the magnetic moment is 0.0009 μB per atom. The energy above the most stable polymorph in this dataset is 0.00 eV per formula unit.


Entry from Alexandria via LeMat-Bulk: a relaxed structure of CeNdEu (PBE-GGA).

a = 8.331 Å, b = 8.331 Å, c = 8.331 Å
α = 154.77°, β = 154.77°, γ = 35.98°
Fractional coordinates of all 3 atoms:
Ce1 0.000 0.000 0.000
Nd1 0.348 0.348 0.000
Eu1 0.668 0.668 0.000

Results
As for the symmetry: I4mm (107). The value obtained for the magnetic moment is 2.8032 μB per atom. Its formation energy is 11.2 kJ/mol of atoms. The energy above the most stable polymorph in this dataset is 0.00 eV per formula unit.


Entry from Alexandria via LeMat-Bulk: a relaxed structure of CsK9Rb2 (PBE-GGA).

a = 6.783 Å, b = 6.783 Å, c = 20.437 Å
α = 90.00°, β = 90.00°, γ = 90.00°
Fractional coordinates of all 12 atoms:
Cs1 0.000 0.000 0.000
K1 0.000 0.500 0.173
K2 0.000 0.500 0.500
K3 0.000 0.500 0.827
K4 0.500 0.000 0.173
K5 0.500 0.000 0.500
K6 0.500 0.000 0.827
K7 0.500 0.500 0.000
K8 0.500 0.500 0.336
K9 0.500 0.500 0.664
Rb1 0.000 0.000 0.337
Rb2 0.000 0.000 0.663

Results
As for the symmetry: P4/mmm (123). The value obtained for the magnetic moment is 0.0000 μB per atom. Its formation energy is 0.5 kJ/mol of atoms.


The lowest magnetic moment belongs to which entry? CsK9Rb2


The highest magnetic moment belongs to which entry? CeNdEu